# NdHo3Sn3, optimized geometry, DFT PBE-GGA
data_NdHo3Sn3
_chemical_formula_sum 'Nd2 Ho6 Sn6'
_cell_length_a 9.1997
_cell_length_b 9.1997
_cell_length_c 5.3912
_cell_angle_alpha 90.00
_cell_angle_beta 90.00
_cell_angle_gamma 120.00
_space_group_name_H-M_alt 'P 63/m'
_space_group_IT_number 176
_space_group_name_Hall '-P 6c'
loop_
_atom_site_label
_atom_site_fract_x
_atom_site_fract_y
_atom_site_fract_z
Nd1 0.3333 0.6667 0.2500
Ho1 0.0032 0.7649 0.2500
Sn1 0.0732 0.6246 0.7500
# Total moment (μB/f.u.): 0.000
# Formation enthalpy at 0 K (eV per atom): -0.545
# Crystal system: hexagonal
# Mass density (Mg/m³): 8.36